FeBr2F | Alexandria via LeMat-Bulk | GGA+U | relaxed; energy above the lowest structure with this stoichiometry = 0.954 eV per atom; raw total energy = -2.699 eV per atom
1.0
2.5656 0.0000 7.6196
-1.2828 2.2219 7.6196
-1.2828 -2.2219 7.6196
Br F Fe
2 1 1
direct
0.9005 0.9005 0.9005 Br
0.0995 0.0995 0.0995 Br
0.5000 0.5000 0.5000 F
0.0000 0.0000 0.0000 Fe